# 1
The following is a DFT calculation (PBE) of NdB4Pd3O12 after structural relaxation.

The value obtained for the formation energy without anion corrections is -162 kJ/mol of atoms. As for the energy: -420.18 eV per cell. The value obtained for the density of states at the Fermi level is 0.403 states/eV per atom.

It has space group R32 (No. 155, hexagonal axes), with a = 9.8103 Å, b = 9.8103 Å, c = 8.0754 Å, α = 90.00°, β = 90.00° and γ = 120.00°. The inequivalent atoms are Nd at (0.0000, 0.0000, 0.0000), B at (0.0000, 0.0000, 0.5000), B at (0.0000, 0.4498, 0.5000), Pd at (0.0000, 0.5463, 0.0000), O at (0.0000, 0.5938, 0.5000), O at (0.0000, 0.8589, 0.5000) and O at (0.0164, 0.2051, 0.1790).

# 2
The following is a DFT calculation (PBE) of Sm2EuGe after structural relaxation.

For the excess energy over the best structure of this formula in the dataset, the calculation gives 0.0000 eV per atom. As for the formation energy: -0.296 eV/atom. As for the energy: -25.51 eV per cell. The value obtained for the density of states at the Fermi level is 1.095 states/eV per atom.

It has space group P4/mmm (No. 123), with a = 4.854 Å, b = 4.854 Å, c = 4.668 Å, α = 90.00°, β = 90.00° and γ = 90.00°. The inequivalent atoms are Sm at (0.000, 0.500, 0.000), Eu at (0.000, 0.000, 0.500) and Ge at (0.500, 0.500, 0.500).

# 3
The following is a DFT calculation (PBE) of Co2Ag after structural relaxation.

For the excess energy over the best structure of this formula in the dataset, the calculation gives 0.3103 eV per atom. As for the formation energy: 0.579 eV/atom. As for the energy: -30.65 eV per cell. The value obtained for the density of states at the Fermi level is 1.808 states/eV per atom.

It has space group P6_3/mmc (No. 194), with a = 4.2941 Å, b = 4.2941 Å, c = 5.1082 Å, α = 90.00°, β = 90.00° and γ = 120.00°. The inequivalent atoms are Co at (0.0000, 0.0000, 0.0000), Co at (0.3333, 0.6667, 0.2500) and Ag at (0.3333, 0.6667, 0.7500).

# 4
The following is a DFT calculation (PBE) of IrRh3 after structural relaxation.

As for the formation energy: 0.028 eV/atom. As for the energy: -92.41 eV per cell. The value obtained for the density of states at the Fermi level is 1.563 states/eV per atom.

It has space group R-3m (No. 166, hexagonal axes), with a = 2.7326 Å, b = 2.7326 Å, c = 26.5115 Å, α = 90.00°, β = 90.00° and γ = 120.00°. The inequivalent atoms are Ir at (0.0000, 0.0000, 0.0000), Rh at (0.0000, 0.0000, 0.2502) and Rh at (0.0000, 0.0000, 0.5000).

# 5
The following is a DFT calculation (PBE) of In2Ge2Rh3 after structural relaxation.

As for the formation energy: -0.316 eV/atom. As for the energy: -77.96 eV per cell. The value obtained for the density of states at the Fermi level is 0.235 states/eV per atom.

It has space group C2/m (No. 12), with a = 12.233 Å, b = 4.133 Å, c = 5.599 Å, α = 90.00°, β = 95.23° and γ = 90.00°. The inequivalent atoms are In at (0.166, 0.000, 0.361), Ge at (0.106, 0.500, 0.899), Rh at (0.000, 0.000, 0.000) and Rh at (0.210, 0.000, 0.838).

# 6
The following is a DFT calculation (PBE) of Ce2BeOs3 after structural relaxation.

For the excess energy over the best structure of this formula in the dataset, the calculation gives 0.0282 eV per atom. As for the formation energy: -0.185 eV/atom. As for the energy: -100.79 eV per cell. The value obtained for the density of states at the Fermi level is 1.671 states/eV per atom.

It has space group P6_3/mmc (No. 194), with a = 5.4249 Å, b = 5.4249 Å, c = 8.1713 Å, α = 90.00°, β = 90.00° and γ = 120.00°. The inequivalent atoms are Ce at (0.3333, 0.6667, 0.0730), Be at (0.0000, 0.0000, 0.0000) and Os at (0.1652, 0.3303, 0.7500).

# 7
The following is a DFT calculation (PBE) of KPt3 after structural relaxation.

For the excess energy over the best structure of this formula in the dataset, the calculation gives 0.5966 eV per atom. As for the formation energy: 0.446 eV/atom. As for the energy: -69.75 eV per cell. The value obtained for the density of states at the Fermi level is 1.086 states/eV per atom.

It has space group I4/mmm (No. 139), with a = 4.178 Å, b = 4.178 Å, c = 16.560 Å, α = 90.00°, β = 90.00° and γ = 90.00°. The inequivalent atoms are K at (0.000, 0.000, 0.125), Pt at (0.000, 0.000, 0.380), Pt at (0.000, 0.500, 0.000) and Pt at (0.000, 0.500, 0.250).

# 8
The following is a DFT calculation (PBE) of NiAg2Cl after structural relaxation.

The value obtained for the formation energy without anion corrections is 10 kJ/mol of atoms. For the excess energy over the best structure of this formula in the dataset, the calculation gives 0.0601 eV per atom. As for the energy: -25.80 eV per cell. The value obtained for the density of states at the Fermi level is 0.336 states/eV per atom.

It has space group Imm2 (No. 44), with a = 2.962 Å, b = 4.424 Å, c = 11.865 Å, α = 90.00°, β = 90.00° and γ = 90.00°. The inequivalent atoms are Ni at (0.000, 0.000, 0.000), Ag at (0.000, 0.000, 0.555), Ag at (0.000, 0.500, 0.695) and Cl at (0.000, 0.500, 0.355).